Cs2KCu2F7: relaxed, PBE.

Summary:
- raw formation energy (meV per atom) = -2180
- space-group type = I4/mmm (139)
- magnetization (μB per atom) = 0.167
- theoretical density (kg/m³) = 4628
- D(E_F) (states/eV/f.u.) = 2.45
- raw total energy (eV per atom) = -4.188

a = 11.7278 Å, b = 11.7278 Å, c = 11.7278 Å
α = 159.23°, β = 159.23°, γ = 29.54°
Sites, in units of the cell vectors:
1 Cs 0.1822 0.1822 0.0000
2 Cs 0.8178 0.8178 0.0000
3 K 0.0000 0.0000 0.0000
4 Cu 0.4123 0.4123 0.0000
5 Cu 0.5877 0.5877 0.0000
6 F 0.0861 0.5861 0.5000
7 F 0.3242 0.3242 0.0000
8 F 0.4139 0.9139 0.5000
9 F 0.5000 0.5000 0.0000
10 F 0.5861 0.0861 0.5000
11 F 0.6758 0.6758 0.0000
12 F 0.9139 0.4139 0.5000